No. 1
First-principles (meta-GGA SCAN) data for In2Ni21P6 at its PBEsol-relaxed geometry, as listed in the Alexandria database.

```
data_In2Ni21P6
_chemical_formula_sum 'In8 Ni84 P24'
_cell_length_a 10.961
_cell_length_b 10.961
_cell_length_c 10.961
_cell_angle_alpha 90.00
_cell_angle_beta 90.00
_cell_angle_gamma 90.00
_symmetry_space_group_name_H-M 'F m -3 m'
_symmetry_Int_Tables_number 225
_symmetry_space_group_name_Hall '-F 4 2 3'
loop_
_atom_site_label
_atom_site_fract_x
_atom_site_fract_y
_atom_site_fract_z
In1 0.250 0.250 0.250
Ni1 0.000 0.000 0.000
Ni2 0.000 0.174 0.174
Ni3 0.115 0.115 0.385
P1 0.000 0.000 0.262
```

Output
calculated formation energy	-0.389	eV per atom
calculated density	8.3	g/cm3
DOS(E_F)	0.435	states/eV per atom



No. 2
First-principles (meta-GGA SCAN) data for InNiP3 at its PBEsol-relaxed geometry, as listed in the Alexandria database.

```
data_InNiP3
_chemical_formula_sum 'In1 Ni1 P3'
_cell_length_a 4.429
_cell_length_b 4.429
_cell_length_c 4.429
_cell_angle_alpha 90.00
_cell_angle_beta 90.00
_cell_angle_gamma 90.00
_symmetry_space_group_name_H-M 'P m -3 m'
_symmetry_Int_Tables_number 221
_symmetry_space_group_name_Hall '-P 4 2 3'
loop_
_atom_site_label
_atom_site_fract_x
_atom_site_fract_y
_atom_site_fract_z
In1 0.000 0.000 0.000
Ni1 0.500 0.500 0.500
P1 0.000 0.500 0.500
```

Output
calculated formation energy	0.602	eV per atom
calculated density	5.1	g/cm3
DOS(E_F)	0.819	states/eV per atom



No. 3
First-principles (meta-GGA SCAN) data for InNiPPt2 at its PBEsol-relaxed geometry, as listed in the Alexandria database.

```
data_InNiPPt2
_chemical_formula_sum 'In1 Ni1 P1 Pt2'
_cell_length_a 4.552
_cell_length_b 4.552
_cell_length_c 4.552
_cell_angle_alpha 90.00
_cell_angle_beta 90.00
_cell_angle_gamma 90.00
_symmetry_space_group_name_H-M 'P 4/m m m'
_symmetry_Int_Tables_number 123
_symmetry_space_group_name_Hall '-P 4 2'
loop_
_atom_site_label
_atom_site_fract_x
_atom_site_fract_y
_atom_site_fract_z
In1 0.000 0.000 0.000
Ni1 0.000 0.000 0.500
P1 0.500 0.500 0.000
Pt1 0.000 0.500 0.500
```

Output
calculated formation energy	0.935	eV per atom
calculated density	10.5	g/cm3
DOS(E_F)	0.716	states/eV per atom



No. 4
First-principles (meta-GGA SCAN) data for InNiP2S at its PBEsol-relaxed geometry, as listed in the Alexandria database.

```
data_InNiP2S
_chemical_formula_sum 'In1 Ni1 P2 S1'
_cell_length_a 4.905
_cell_length_b 4.905
_cell_length_c 4.887
_cell_angle_alpha 90.00
_cell_angle_beta 90.00
_cell_angle_gamma 90.00
_symmetry_space_group_name_H-M 'P 4/m m m'
_symmetry_Int_Tables_number 123
_symmetry_space_group_name_Hall '-P 4 2'
loop_
_atom_site_label
_atom_site_fract_x
_atom_site_fract_y
_atom_site_fract_z
In1 0.000 0.000 0.000
Ni1 0.500 0.500 0.500
P1 0.000 0.500 0.000
S1 0.000 0.000 0.500
```

Output
VASP energy	-14.529	eV per atom
calculated density	3.8	g/cm3
DOS(E_F)	1.188	states/eV per atom